# TaS GGA-PBE optimized geometry
data_TaS
_cell_length_a 9.619
_cell_length_b 9.619
_cell_length_c 3.350
_cell_angle_alpha 90.00
_cell_angle_beta 90.00
_cell_angle_gamma 90.00
_symmetry_space_group_name_H-M 'I 4/m'
_symmetry_Int_Tables_number 87
_symmetry_space_group_name_Hall '-I 4'
loop_
_atom_site_label
_atom_site_fract_x
_atom_site_fract_y
_atom_site_fract_z
_atom_site_occupancy
Ta1 0.104 0.356 0.000 1
S1 0.105 0.792 0.000 1
# Energy ... -8.664 eV per atom
# Formation energy without anion corrections ... -0.674 eV/atom
# D(E_F) ... 7.13 states/eV per cell

# Ti4PO GGA-PBE optimized geometry
data_Ti4PO
_cell_length_a 7.403
_cell_length_b 7.403
_cell_length_c 6.625
_cell_angle_alpha 90.00
_cell_angle_beta 90.00
_cell_angle_gamma 90.00
_symmetry_space_group_name_H-M 'I 41 m d'
_symmetry_Int_Tables_number 109
_symmetry_space_group_name_Hall 'I 4bw -2'
loop_
_atom_site_label
_atom_site_fract_x
_atom_site_fract_y
_atom_site_fract_z
_atom_site_occupancy
Ti1 0.000 0.286 0.000 1
Ti2 0.000 0.309 0.448 1
P1 0.000 0.000 0.487 1
O1 0.000 0.000 0.961 1
# Energy ... -8.150 eV per atom
# Formation energy without anion corrections ... -1.159 eV/atom
# D(E_F) ... 15.03 states/eV per cell

# Tl3HgI4 GGA-PBE optimized geometry
data_Tl3HgI4
_cell_length_a 6.872
_cell_length_b 11.447
_cell_length_c 10.552
_cell_angle_alpha 90.00
_cell_angle_beta 90.00
_cell_angle_gamma 90.00
_symmetry_space_group_name_H-M 'P m m n'
_symmetry_Int_Tables_number 59
loop_
_symmetry_equiv_pos_as_xyz
'x,y,z'
'-x,-y,-z'
'-x+1/2,-y+1/2,z'
'x+1/2,y+1/2,-z'
'x+1/2,-y,-z'
'-x+1/2,y,z'
'-x,y+1/2,-z'
'x,-y+1/2,z'
loop_
_atom_site_label
_atom_site_fract_x
_atom_site_fract_y
_atom_site_fract_z
_atom_site_occupancy
Tl1 0.250 0.015 0.163 1
Tl2 0.250 0.750 0.642 1
Hg1 0.250 0.250 0.683 1
I1 0.250 0.250 0.376 1
I2 0.250 0.502 0.831 1
I3 0.250 0.750 0.311 1
# Energy ... -2.160 eV per atom
# Formation energy without anion corrections ... -0.460 eV/atom
# D(E_F) ... 5.13 states/eV per cell

# Nb2IrRh6 GGA-PBE optimized geometry
data_Nb2IrRh6
_cell_length_a 13.250
_cell_length_b 5.909
_cell_length_c 4.293
_cell_angle_alpha 90.00
_cell_angle_beta 108.62
_cell_angle_gamma 90.00
_symmetry_space_group_name_H-M 'C 1 2/m 1'
_symmetry_Int_Tables_number 12
loop_
_symmetry_equiv_pos_as_xyz
'x,y,z'
'-x,-y,-z'
'-x,y,-z'
'x,-y,z'
'x+1/2,y+1/2,z'
'-x+1/2,-y+1/2,-z'
'-x+1/2,y+1/2,-z'
'x+1/2,-y+1/2,z'
loop_
_atom_site_label
_atom_site_fract_x
_atom_site_fract_y
_atom_site_fract_z
_atom_site_occupancy
Nb1 0.166 0.000 0.166 1
Ir1 0.000 0.500 0.500 1
Rh1 0.000 0.257 0.000 1
Rh2 0.166 0.248 0.666 1
# Energy ... -8.014 eV per atom
# Formation enthalpy at 0 K ... 0.982 eV/f.u.
# D(E_F) ... 17.88 states/eV per cell